Entry 1:
# Sr3InSe, optimized geometry, DFT GGA-PBE
data_Sr3InSe
_chemical_formula_sum 'Sr3 In1 Se1'
_space_group_name_H-M_alt 'P m -3 m'
_space_group_IT_number 221
_space_group_name_Hall '-P 4 2 3'
_cell_length_a 5.897
_cell_length_b 5.897
_cell_length_c 5.897
_cell_angle_alpha 90.00
_cell_angle_beta 90.00
_cell_angle_gamma 90.00
loop_
_atom_site_label
_atom_site_type_symbol
_atom_site_fract_x
_atom_site_fract_y
_atom_site_fract_z
_atom_site_occupancy
Sr1 Sr 0.000 0.000 0.500 1
In1 In 0.500 0.500 0.500 1
Se1 Se 0.000 0.000 0.000 1
# - Size of the total moment: 0.00 Bohr magnetons per cell
# - Theoretical density: 3.697 g/cm3
# - Uncorrected energy: -15.2 eV/cell



Entry 2:
# NdMgS2O8, optimized geometry, DFT GGA-PBE
data_NdMgS2O8
_chemical_formula_sum 'Nd1 Mg1 S2 O8'
_space_group_name_H-M_alt 'P -3 m 1'
_space_group_IT_number 164
_space_group_name_Hall '-P 3 2"'
_cell_length_a 5.2195
_cell_length_b 5.2195
_cell_length_c 6.8454
_cell_angle_alpha 90.00
_cell_angle_beta 90.00
_cell_angle_gamma 120.00
loop_
_atom_site_label
_atom_site_type_symbol
_atom_site_fract_x
_atom_site_fract_y
_atom_site_fract_z
_atom_site_occupancy
Nd1 Nd 0.0000 0.0000 0.0000 1
Mg1 Mg 0.0000 0.0000 0.5000 1
S1 S 0.3333 0.6667 0.2347 1
O1 O 0.1754 0.3507 0.3025 1
O2 O 0.3333 0.6667 0.0176 1
# - Size of the total moment: 0.44 Bohr magnetons per cell
# - Theoretical density: 3.708 g/cm3
# - Uncorrected energy: -76.5 eV/cell



Copy entry 2 word for word.
# NdMgS2O8, optimized geometry, DFT GGA-PBE
data_NdMgS2O8
_chemical_formula_sum 'Nd1 Mg1 S2 O8'
_space_group_name_H-M_alt 'P -3 m 1'
_space_group_IT_number 164
_space_group_name_Hall '-P 3 2"'
_cell_length_a 5.2195
_cell_length_b 5.2195
_cell_length_c 6.8454
_cell_angle_alpha 90.00
_cell_angle_beta 90.00
_cell_angle_gamma 120.00
loop_
_atom_site_label
_atom_site_type_symbol
_atom_site_fract_x
_atom_site_fract_y
_atom_site_fract_z
_atom_site_occupancy
Nd1 Nd 0.0000 0.0000 0.0000 1
Mg1 Mg 0.0000 0.0000 0.5000 1
S1 S 0.3333 0.6667 0.2347 1
O1 O 0.1754 0.3507 0.3025 1
O2 O 0.3333 0.6667 0.0176 1
# - Size of the total moment: 0.44 Bohr magnetons per cell
# - Theoretical density: 3.708 g/cm3
# - Uncorrected energy: -76.5 eV/cell